(i)
The following is a DFT calculation (GGA-PBE) of a relaxed structure of Co5Au.

Cell lengths 9.4755, 2.6475, 6.0881 Å; angles 90.00, 105.83, 90.00 degrees
Closest atoms and distances in Å follow each position.
Fractional coordinates of all 12 atoms:
Co1 0.0000 0.0000 0.0000  10 Co 2.41-2.65, 2 Au 2.68
Co2 0.0451 0.0000 0.6237  10 Co 2.44-2.74, 2 Au 2.67
Co3 0.2207 0.5000 0.9375  11 Co 2.47-2.65, 1 Au 2.67
Co4 0.3434 0.0000 0.7015  8 Co 2.41-2.65, 2 Au 2.64
Co5 0.3935 0.0000 0.2643  8 Co 2.50-2.65, 3 Au 2.58-2.62
Co6 0.5000 0.5000 0.0000  10 Co 2.41-2.65, 2 Au 2.68
Co7 0.5451 0.5000 0.6237  10 Co 2.44-2.74, 2 Au 2.67
Co8 0.7207 0.0000 0.9375  11 Co 2.47-2.65, 1 Au 2.67
Co9 0.8434 0.5000 0.7015  8 Co 2.41-2.65, 2 Au 2.64
Co10 0.8935 0.5000 0.2643  8 Co 2.50-2.65, 3 Au 2.58-2.62
Au1 0.1757 0.5000 0.3516  10 Co 2.58-2.68, 2 Au 2.65
Au2 0.6757 0.0000 0.3516  10 Co 2.58-2.68, 2 Au 2.65

Summary:
total moment = 17.36 μB per cell



(ii)
The following is a DFT calculation (GGA-PBE) of a relaxed structure of Co5Au.

Cell lengths 3.6812, 10.7392, 3.6911 Å; angles 90.00, 90.00, 90.00 degrees
Closest atoms and distances in Å follow each position.
Fractional coordinates of all 12 atoms:
Co1 0.0000 0.0000 0.0000  4 Au 2.61, 8 Co 2.63-2.64
Co2 0.0000 0.1764 0.5000  10 Co 2.43-2.64, 2 Au 2.64
Co3 0.0000 0.3250 0.0000  10 Co 2.44-2.63, 2 Au 2.63
Co4 0.0000 0.6750 0.0000  10 Co 2.44-2.63, 2 Au 2.63
Co5 0.0000 0.8236 0.5000  10 Co 2.43-2.64, 2 Au 2.64
Co6 0.5000 0.1750 0.0000  10 Co 2.44-2.63, 2 Au 2.63
Co7 0.5000 0.3236 0.5000  10 Co 2.43-2.64, 2 Au 2.64
Co8 0.5000 0.5000 0.0000  4 Au 2.61, 8 Co 2.63-2.64
Co9 0.5000 0.6764 0.5000  10 Co 2.43-2.64, 2 Au 2.64
Co10 0.5000 0.8250 0.0000  10 Co 2.44-2.63, 2 Au 2.63
Au1 0.0000 0.5000 0.5000  12 Co 2.61-2.64
Au2 0.5000 0.0000 0.5000  12 Co 2.61-2.64

Summary:
total moment = 16.97 μB per cell



Stability, lowest: (i)



(i)
The following is a DFT calculation (GGA-PBE) of a relaxed structure of Co4Au.

Cell lengths 4.6311, 4.6311, 4.6311 Å; angles 90.00, 90.00, 90.00 degrees
Closest atoms and distances in Å follow each position.
Fractional coordinates of all 5 atoms:
Co1 0.0000 0.0000 0.0000  12 Co 3.27
Co2 0.0000 0.5000 0.5000  2 Au 2.32
Co3 0.5000 0.0000 0.5000  2 Au 2.32
Co4 0.5000 0.5000 0.0000  2 Au 2.32
Au1 0.5000 0.5000 0.5000  6 Co 2.32

Summary:
total moment = 8.22 μB per cell



(ii)
The following is a DFT calculation (GGA-PBE) of a relaxed structure of Co4Au.

Cell lengths 3.5720, 3.5720, 10.4466 Å; angles 90.00, 90.00, 90.00 degrees
Closest atoms and distances in Å follow each position.
Fractional coordinates of all 10 atoms:
Co1 0.0000 0.0000 0.1080  5 Co 2.26-2.32
Co2 0.0000 0.0000 0.8920  5 Co 2.26-2.32
Co3 0.0000 0.5000 0.2500  8 Co 2.32-2.53
Co4 0.0000 0.5000 0.7500  8 Co 2.32-2.53
Co5 0.5000 0.0000 0.2500  8 Co 2.32-2.53
Co6 0.5000 0.0000 0.7500  8 Co 2.32-2.53
Co7 0.5000 0.5000 0.3920  5 Co 2.26-2.32
Co8 0.5000 0.5000 0.6080  5 Co 2.26-2.32
Au1 0.0000 0.0000 0.5000  8 Co 2.77
Au2 0.5000 0.5000 0.0000  8 Co 2.77

Summary:
total moment = 14.15 μB per cell



Stability, lowest: (i)



(i)
The following is a DFT calculation (GGA-PBE) of a relaxed structure of Co4Au.

Cell lengths 5.5948, 5.5948, 5.5948 Å; angles 90.00, 90.00, 90.00 degrees
Closest atoms and distances in Å follow each position.
Fractional coordinates of all 10 atoms:
Co1 0.2500 0.2500 0.2500  2 Au 2.42
Co2 0.2500 0.2500 0.7500  2 Au 2.42
Co3 0.2500 0.7500 0.2500  2 Au 2.42
Co4 0.2500 0.7500 0.7500  2 Au 2.42
Co5 0.7500 0.2500 0.2500  2 Au 2.42
Co6 0.7500 0.2500 0.7500  2 Au 2.42
Co7 0.7500 0.7500 0.2500  2 Au 2.42
Co8 0.7500 0.7500 0.7500  2 Au 2.42
Au1 0.0000 0.0000 0.0000  8 Co 2.42
Au2 0.5000 0.5000 0.5000  8 Co 2.42

Summary:
total moment = 15.51 μB per cell



(ii)
The following is a DFT calculation (GGA-PBE) of a relaxed structure of Co4Au.

Cell lengths 5.8057, 5.8057, 3.6744 Å; angles 90.00, 90.00, 90.00 degrees
Closest atoms and distances in Å follow each position.
Fractional coordinates of all 10 atoms:
Co1 0.0878 0.6896 0.0000  7 Co 2.43-2.65, 3 Au 2.62-2.63
Co2 0.1896 0.4122 0.5000  7 Co 2.43-2.65, 3 Au 2.62-2.63
Co3 0.3104 0.0878 0.0000  7 Co 2.43-2.65, 3 Au 2.62-2.63
Co4 0.4122 0.8104 0.5000  7 Co 2.43-2.65, 3 Au 2.62-2.63
Co5 0.5878 0.1896 0.5000  7 Co 2.43-2.65, 3 Au 2.62-2.63
Co6 0.6896 0.9122 0.0000  7 Co 2.43-2.65, 3 Au 2.62-2.63
Co7 0.8104 0.5878 0.5000  7 Co 2.43-2.65, 3 Au 2.62-2.63
Co8 0.9122 0.3104 0.0000  7 Co 2.43-2.65, 3 Au 2.62-2.63
Au1 0.0000 0.0000 0.5000  12 Co 2.62-2.63
Au2 0.5000 0.5000 0.0000  12 Co 2.62-2.63

Summary:
total moment = 13.59 μB per cell



Stability, lowest: (i)



(i)
The following is a DFT calculation (GGA-PBE) of a relaxed structure of Co3Au5.

Cell lengths 7.5530, 7.5530, 5.1969 Å; angles 90.00, 90.00, 120.00 degrees
Closest atoms and distances in Å follow each position.
Fractional coordinates of all 16 atoms:
Co1 0.0000 0.4125 0.2500  7 Au 2.62-2.71, 2 Co 2.92
Co2 0.0000 0.5875 0.7500  7 Au 2.62-2.71, 2 Co 2.92
Co3 0.4125 0.0000 0.2500  7 Au 2.62-2.71, 2 Co 2.92
Co4 0.4125 0.4125 0.7500  7 Au 2.62-2.71, 2 Co 2.92
Co5 0.5875 0.0000 0.7500  7 Au 2.62-2.71, 2 Co 2.92
Co6 0.5875 0.5875 0.2500  7 Au 2.62-2.71, 2 Co 2.92
Au1 0.0000 0.2282 0.7500  5 Co 2.70-2.95, 2 Au 2.99
Au2 0.0000 0.7718 0.2500  5 Co 2.70-2.95, 2 Au 2.99
Au3 0.2282 0.0000 0.7500  5 Co 2.70-2.95, 2 Au 2.99
Au4 0.2282 0.2282 0.2500  5 Co 2.70-2.95, 2 Au 2.99
Au5 0.3333 0.6667 0.0000  2 Au 2.60, 6 Co 2.62
Au6 0.3333 0.6667 0.5000  2 Au 2.60, 6 Co 2.62
Au7 0.6667 0.3333 0.0000  2 Au 2.60, 6 Co 2.62
Au8 0.6667 0.3333 0.5000  2 Au 2.60, 6 Co 2.62
Au9 0.7718 0.0000 0.2500  5 Co 2.70-2.95, 2 Au 2.99
Au10 0.7718 0.7718 0.7500  5 Co 2.70-2.95, 2 Au 2.99

Summary:
total moment = 10.70 μB per cell



(ii)
The following is a DFT calculation (GGA-PBE) of a relaxed structure of Co3Au5.

Cell lengths 4.7850, 6.7710, 8.3901 Å; angles 90.01, 98.82, 104.82 degrees
Closest atoms and distances in Å follow each position.
Fractional coordinates of all 16 atoms:
Co1 0.0706 0.3511 0.4988  1 Co 2.29
Co2 0.2920 0.5753 0.0412  3 Co 2.49-2.70, 5 Au 2.68-2.75
Co3 0.4278 0.9472 0.1175  2 Co 2.25-2.49
Co4 0.5722 0.0528 0.8825  2 Co 2.25-2.49
Co5 0.7080 0.4247 0.9588  3 Co 2.49-2.70, 5 Au 2.68-2.75
Co6 0.9294 0.6489 0.5012  1 Co 2.29
Au1 0.0010 0.1822 0.1338  5 Co 2.68-2.91, 5 Au 2.77-2.92
Au2 0.1365 0.2589 0.8248  6 Co 2.68-2.93, 6 Au 2.78-2.94
Au3 0.2351 0.0216 0.4179  3 Co 2.67-2.90, 7 Au 2.77-2.88
Au4 0.3938 0.6599 0.3602  5 Co 2.65-2.81, 5 Au 2.79-2.94
Au5 0.3973 0.6635 0.7327  5 Co 2.71-2.97, 5 Au 2.77-2.86
Au6 0.6027 0.3365 0.2673  5 Co 2.71-2.97, 5 Au 2.77-2.86
Au7 0.6062 0.3401 0.6398  5 Co 2.65-2.81, 5 Au 2.79-2.94
Au8 0.7649 0.9784 0.5821  3 Co 2.67-2.90, 7 Au 2.77-2.88
Au9 0.8635 0.7411 0.1752  6 Co 2.68-2.93, 6 Au 2.78-2.94
Au10 0.9990 0.8178 0.8662  5 Co 2.68-2.91, 5 Au 2.77-2.92

Summary:
total moment = 11.22 μB per cell



(iii)
The following is a DFT calculation (GGA-PBE) of a relaxed structure of Co3Au5.

Cell lengths 8.1040, 8.1297, 3.8143 Å; angles 90.00, 90.00, 90.00 degrees
Closest atoms and distances in Å follow each position.
Fractional coordinates of all 16 atoms:
Co1 0.0000 0.0000 0.0000  4 Co 2.65, 8 Au 2.72-2.87
Co2 0.0000 0.2262 0.5000  2 Co 2.65, 8 Au 2.68-2.93
Co3 0.0000 0.7738 0.5000  2 Co 2.65, 8 Au 2.68-2.93
Co4 0.5000 0.2738 0.5000  2 Co 2.65, 8 Au 2.68-2.93
Co5 0.5000 0.5000 0.0000  4 Co 2.65, 8 Au 2.72-2.87
Co6 0.5000 0.7262 0.5000  2 Co 2.65, 8 Au 2.68-2.93
Au1 0.0000 0.5000 0.0000  8 Au 2.84-2.87, 4 Co 2.93
Au2 0.2401 0.0000 0.5000  4 Co 2.68-2.72, 6 Au 2.79-2.84
Au3 0.2500 0.2500 0.0000  6 Au 2.79-2.87, 6 Co 2.79-2.87
Au4 0.2500 0.7500 0.0000  6 Au 2.79-2.87, 6 Co 2.79-2.87
Au5 0.2599 0.5000 0.5000  4 Co 2.68-2.72, 6 Au 2.79-2.84
Au6 0.5000 0.0000 0.0000  8 Au 2.84-2.87, 4 Co 2.93
Au7 0.7401 0.5000 0.5000  4 Co 2.68-2.72, 6 Au 2.79-2.84
Au8 0.7500 0.2500 0.0000  6 Au 2.79-2.87, 6 Co 2.79-2.87
Au9 0.7500 0.7500 0.0000  6 Au 2.79-2.87, 6 Co 2.79-2.87
Au10 0.7599 0.0000 0.5000  4 Co 2.68-2.72, 6 Au 2.79-2.84

Summary:
total moment = 11.23 μB per cell



Stability, lowest: (i)



(i)
The following is a DFT calculation (GGA-PBE) of a relaxed structure of CoAu4.

Cell lengths 3.7512, 3.7512, 13.9582 Å; angles 90.00, 90.00, 90.00 degrees
Closest atoms and distances in Å follow each position.
Fractional coordinates of all 10 atoms:
Co1 0.0000 0.0000 0.0000  8 Au 2.96
Co2 0.5000 0.5000 0.5000  8 Au 2.96
Au1 0.0000 0.0000 0.4062  5 Au 2.62-2.88
Au2 0.0000 0.0000 0.5938  5 Au 2.62-2.88
Au3 0.0000 0.5000 0.2500  8 Au 2.65-2.88
Au4 0.0000 0.5000 0.7500  8 Au 2.65-2.88
Au5 0.5000 0.0000 0.2500  8 Au 2.65-2.88
Au6 0.5000 0.0000 0.7500  8 Au 2.65-2.88
Au7 0.5000 0.5000 0.0938  5 Au 2.62-2.88
Au8 0.5000 0.5000 0.9062  5 Au 2.62-2.88

Summary:
total moment = 4.25 μB per cell



(ii)
The following is a DFT calculation (GGA-PBE) of a relaxed structure of CoAu4.

Cell lengths 4.7496, 4.7496, 4.7496 Å; angles 90.00, 90.00, 90.00 degrees
Closest atoms and distances in Å follow each position.
Fractional coordinates of all 5 atoms:
Co1 0.0000 0.0000 0.0000  6 Au 2.37
Au1 0.0000 0.0000 0.5000  2 Co 2.37
Au2 0.0000 0.5000 0.0000  2 Co 2.37
Au3 0.5000 0.0000 0.0000  2 Co 2.37
Au4 0.5000 0.5000 0.5000  12 Au 3.36

Summary:
total moment = 2.08 μB per cell



(iii)
The following is a DFT calculation (GGA-PBE) of a relaxed structure of CoAu4.

Cell lengths 6.4523, 6.4523, 4.0422 Å; angles 90.00, 90.00, 90.00 degrees
Closest atoms and distances in Å follow each position.
Fractional coordinates of all 10 atoms:
Co1 0.0000 0.0000 0.0000  12 Au 2.85-2.89
Co2 0.5000 0.5000 0.5000  12 Au 2.85-2.89
Au1 0.1028 0.2944 0.5000  9 Au 2.83-2.97, 3 Co 2.85-2.89
Au2 0.2056 0.6028 0.0000  9 Au 2.83-2.97, 3 Co 2.85-2.89
Au3 0.2944 0.8972 0.5000  9 Au 2.83-2.97, 3 Co 2.85-2.89
Au4 0.3972 0.2056 0.0000  9 Au 2.83-2.97, 3 Co 2.85-2.89
Au5 0.6028 0.7944 0.0000  9 Au 2.83-2.97, 3 Co 2.85-2.89
Au6 0.7056 0.1028 0.5000  9 Au 2.83-2.97, 3 Co 2.85-2.89
Au7 0.7944 0.3972 0.0000  9 Au 2.83-2.97, 3 Co 2.85-2.89
Au8 0.8972 0.7056 0.5000  9 Au 2.83-2.97, 3 Co 2.85-2.89

Summary:
total moment = 3.76 μB per cell



Stability, lowest: (ii)



(i)
The following is a DFT calculation (GGA-PBE) of a relaxed structure of Co3Au2.

Cell lengths 6.9309, 5.0432, 7.8170 Å; angles 60.77, 39.42, 79.81 degrees
Closest atoms and distances in Å follow each position.
Fractional coordinates of all 10 atoms:
Co1 0.0000 0.0000 0.0000  4 Co 2.35-2.55
Co2 0.2500 0.2500 0.2500  4 Co 2.35-2.55
Co3 0.4710 0.8031 0.3101  4 Co 2.35-2.55, 1 Au 2.63
Co4 0.8031 0.4710 0.4157  4 Co 2.35-2.55, 1 Au 2.63
Co5 0.8343 0.9399 0.4469  4 Co 2.35-2.55, 1 Au 2.63
Co6 0.9399 0.8343 0.7790  4 Co 2.35-2.55, 1 Au 2.63
Au1 0.2475 0.5344 0.8560  9 Co 2.63-2.81
Au2 0.3940 0.8879 0.0025  9 Co 2.63-2.81
Au3 0.5344 0.2475 0.3621  9 Co 2.63-2.81
Au4 0.8879 0.3940 0.7156  9 Co 2.63-2.81

Summary:
total moment = 10.93 μB per cell



(ii)
The following is a DFT calculation (GGA-PBE) of a relaxed structure of Co3Au2.

Cell lengths 2.7236, 2.7236, 32.9675 Å; angles 90.00, 90.00, 120.00 degrees
Closest atoms and distances in Å follow each position.
Fractional coordinates of all 15 atoms:
Co1 0.0000 0.0000 0.0000  6 Co 2.72, 6 Au 2.75
Co2 0.0000 0.0000 0.1944  3 Co 2.41
Co3 0.0000 0.0000 0.8056  3 Co 2.41
Co4 0.3333 0.6667 0.4723  3 Co 2.41
Co5 0.3333 0.6667 0.6667  6 Co 2.72, 6 Au 2.75
Co6 0.3333 0.6667 0.8611  3 Co 2.41
Co7 0.6667 0.3333 0.1389  3 Co 2.41
Co8 0.6667 0.3333 0.3333  6 Co 2.72, 6 Au 2.75
Co9 0.6667 0.3333 0.5277  3 Co 2.41
Au1 0.0000 0.0000 0.4019  6 Au 2.72, 6 Co 2.75-2.80
Au2 0.0000 0.0000 0.5981  6 Au 2.72, 6 Co 2.75-2.80
Au3 0.3333 0.6667 0.0686  6 Au 2.72, 6 Co 2.75-2.80
Au4 0.3333 0.6667 0.2648  6 Au 2.72, 6 Co 2.75-2.80
Au5 0.6667 0.3333 0.7352  6 Au 2.72, 6 Co 2.75-2.80
Au6 0.6667 0.3333 0.9314  6 Au 2.72, 6 Co 2.75-2.80

Summary:
total moment = 14.08 μB per cell



Stability, lowest: (ii)



(i)
The following is a DFT calculation (GGA-PBE) of a relaxed structure of CrCoAu.

Cell lengths 4.1187, 4.1187, 2.7312 Å; angles 90.00, 90.00, 120.00 degrees
Closest atoms and distances in Å follow each position.
Fractional coordinates of all 3 atoms:
Cr1 0.0000 0.0000 0.0000  3 Co 2.38
Co1 0.3333 0.6667 0.9969  3 Cr 2.38
Au1 0.6667 0.3333 0.4988  2 Au 2.73, 6 Co 2.74, 6 Cr 2.74

Summary:
total moment = 0.00 μB per cell



(ii)
The following is a DFT calculation (GGA-PBE) of a relaxed structure of CrCoAu.

Cell lengths 2.8323, 3.4068, 8.6148 Å; angles 90.00, 90.00, 90.00 degrees
Closest atoms and distances in Å follow each position.
Fractional coordinates of all 6 atoms:
Cr1 0.0000 0.0000 0.0000  4 Co 2.47, 5 Au 2.69-2.74
Cr2 0.5000 0.5000 0.5000  4 Co 2.47, 5 Au 2.69-2.74
Co1 0.0000 0.0000 0.3737  4 Cr 2.47, 5 Au 2.70-2.74
Co2 0.5000 0.5000 0.8737  4 Cr 2.47, 5 Au 2.70-2.74
Au1 0.0000 0.0000 0.6874  5 Cr 2.69-2.74, 5 Co 2.70-2.74, 2 Au 2.83
Au2 0.5000 0.5000 0.1874  5 Cr 2.69-2.74, 5 Co 2.70-2.74, 2 Au 2.83

Summary:
total moment = 2.68 μB per cell



(iii)
The following is a DFT calculation (GGA-PBE) of a relaxed structure of CrCoAu.

Cell lengths 5.8314, 5.8314, 5.8314 Å; angles 90.00, 90.00, 90.00 degrees
Closest atoms and distances in Å follow each position.
Fractional coordinates of all 12 atoms:
Cr1 0.0000 0.0000 0.0000  4 Co 2.53
Cr2 0.0000 0.5000 0.5000  4 Co 2.53
Cr3 0.5000 0.0000 0.5000  4 Co 2.53
Cr4 0.5000 0.5000 0.0000  4 Co 2.53
Co1 0.2500 0.2500 0.7500  4 Cr 2.53, 4 Au 2.53
Co2 0.2500 0.7500 0.2500  4 Cr 2.53, 4 Au 2.53
Co3 0.7500 0.2500 0.2500  4 Cr 2.53, 4 Au 2.53
Co4 0.7500 0.7500 0.7500  4 Cr 2.53, 4 Au 2.53
Au1 0.0000 0.0000 0.5000  4 Co 2.53
Au2 0.0000 0.5000 0.0000  4 Co 2.53
Au3 0.5000 0.0000 0.0000  4 Co 2.53
Au4 0.5000 0.5000 0.5000  4 Co 2.53

Summary:
total moment = 9.43 μB per cell



Stability, lowest: (iii)



(i)
The following is a DFT calculation (GGA-PBE) of a relaxed structure of CoCu3Au.

Cell lengths 4.7191, 4.7191, 4.7191 Å; angles 90.00, 90.00, 90.00 degrees
Closest atoms and distances in Å follow each position.
Fractional coordinates of all 5 atoms:
Co1 0.0000 0.0000 0.0000  12 Cu 3.34
Cu1 0.0000 0.5000 0.5000  2 Au 2.36
Cu2 0.5000 0.0000 0.5000  2 Au 2.36
Cu3 0.5000 0.5000 0.0000  2 Au 2.36
Au1 0.5000 0.5000 0.5000  6 Cu 2.36

Summary:
total moment = 2.09 μB per cell



(ii)
The following is a DFT calculation (GGA-PBE) of a relaxed structure of CoCu3Au.

Cell lengths 4.3757, 4.3757, 4.3757 Å; angles 90.00, 90.00, 90.00 degrees
Closest atoms and distances in Å follow each position.
Fractional coordinates of all 5 atoms:
Co1 0.0000 0.0000 0.0000  6 Cu 2.19
Cu1 0.0000 0.0000 0.5000  2 Co 2.19
Cu2 0.0000 0.5000 0.0000  2 Co 2.19
Cu3 0.5000 0.0000 0.0000  2 Co 2.19
Au1 0.5000 0.5000 0.5000  12 Cu 3.09

Summary:
total moment = 1.84 μB per cell



Stability, lowest: (i)